No. 1
Density functional theory data (GGA-PBE) for a relaxed structure of MnTe2PbN.

Lattice parameters (Å, degrees): 5.912 5.912 4.239 90.00 90.00 90.00
Sites, in units of the cell vectors:
Pb (0.000, 0.000, 0.000)
Te (0.000, 0.500, 0.000)
Te (0.500, 0.000, 0.000)
Mn (0.500, 0.500, 0.500)
N (0.000, 0.000, 0.500)

* space-group type: P4/mmm, No. 123
* formation energy from raw total energies: 1.227 eV/atom
* theoretical density: 5.96 g cm⁻³
* offset from the most stable computed form: 1.155 eV/atom
* uncorrected energy: -4.27 eV/atom


No. 2
Density functional theory data (GGA-PBE) for a relaxed structure of Na2BeSbSe4.

Lattice parameters (Å, degrees): 6.700 6.701 6.862 119.26 119.26 89.96
Sites, in units of the cell vectors:
Na (0.486, 0.986, 0.973)
Na (0.236, 0.236, 0.472)
Be (0.986, 0.486, 0.972)
Sb (0.736, 0.736, 0.472)
Se (0.686, 0.603, 0.760)
Se (0.869, 0.397, 0.183)
Se (0.315, 0.786, 0.183)
Se (0.074, 0.157, 0.760)

* space-group type: C2, No. 5
* formation energy from raw total energies: -0.626 eV/atom
* theoretical density: 3.67 g cm⁻³
* uncorrected energy: -3.68 eV/atom


Q: The highest formation energy from raw total energies belongs to which entry?
A: MnTe2PbN


What did the second record say?
Density functional theory data (GGA-PBE) for a relaxed structure of Na2BeSbSe4.

Lattice parameters (Å, degrees): 6.700 6.701 6.862 119.26 119.26 89.96
Sites, in units of the cell vectors:
Na (0.486, 0.986, 0.973)
Na (0.236, 0.236, 0.472)
Be (0.986, 0.486, 0.972)
Sb (0.736, 0.736, 0.472)
Se (0.686, 0.603, 0.760)
Se (0.869, 0.397, 0.183)
Se (0.315, 0.786, 0.183)
Se (0.074, 0.157, 0.760)

* space-group type: C2, No. 5
* formation energy from raw total energies: -0.626 eV/atom
* theoretical density: 3.67 g cm⁻³
* uncorrected energy: -3.68 eV/atom


Q: Which of these has the lowest uncorrected energy?
A: MnTe2PbN


Q: The lowest formation energy from raw total energies belongs to which entry?
A: Na2BeSbSe4